DFT (PBE) results for a geometry-optimized SrB2PN4 structure.

Properties
- size of the total moment (μB per formula unit) = 0.998
- energy (eV per atom) = -6.59
- V (Å³ per cell) = 76
- DOS(E_F) (states/eV per cell) = 1.590
- density (Mg/m³) = 4.26

Unit cell a=4.6534 b=4.6534 c=4.8255 alpha=118.83 beta=118.83 gamma=90.00
Element x y z (fractional)
Sr  0.0000  0.0000  0.0001
B  0.7500  0.2500  0.5001
B  0.2500  0.7500  0.5001
P  0.5000  0.5000  0.0001
N  0.5350  0.5350  0.6862
N  0.4651  0.8489  0.3140
N  0.8489  0.4651  0.3140
N  0.1512  0.1512  0.6862

---

DFT (PBE) results for a geometry-optimized BTe2PN structure.

Properties
- size of the total moment (μB per formula unit) = 0.000
- energy (eV per atom) = -4.09
- V (Å³ per cell) = 101
- E above lowest polymorph (eV/atom) = 0.7685
- DOS(E_F) (states/eV per cell) = 3.541
- density (Mg/m³) = 5.13

Unit cell a=5.6020 b=5.6020 c=3.2055 alpha=90.00 beta=90.00 gamma=90.00
Element x y z (fractional)
P  0.0000  0.0000  0.0000
B  0.5000  0.5000  0.5000
Te  0.0000  0.5000  0.0000
Te  0.5000  0.0000  0.0000
N  0.0000  0.0000  0.5000

---

Please write out number 1 again, unchanged.
DFT (PBE) results for a geometry-optimized SrB2PN4 structure.

Properties
- size of the total moment (μB per formula unit) = 0.998
- energy (eV per atom) = -6.59
- V (Å³ per cell) = 76
- DOS(E_F) (states/eV per cell) = 1.590
- density (Mg/m³) = 4.26

Unit cell a=4.6534 b=4.6534 c=4.8255 alpha=118.83 beta=118.83 gamma=90.00
Element x y z (fractional)
Sr  0.0000  0.0000  0.0001
B  0.7500  0.2500  0.5001
B  0.2500  0.7500  0.5001
P  0.5000  0.5000  0.0001
N  0.5350  0.5350  0.6862
N  0.4651  0.8489  0.3140
N  0.8489  0.4651  0.3140
N  0.1512  0.1512  0.6862

---

Repeat the second record exactly.
DFT (PBE) results for a geometry-optimized BTe2PN structure.

Properties
- size of the total moment (μB per formula unit) = 0.000
- energy (eV per atom) = -4.09
- V (Å³ per cell) = 101
- E above lowest polymorph (eV/atom) = 0.7685
- DOS(E_F) (states/eV per cell) = 3.541
- density (Mg/m³) = 5.13

Unit cell a=5.6020 b=5.6020 c=3.2055 alpha=90.00 beta=90.00 gamma=90.00
Element x y z (fractional)
P  0.0000  0.0000  0.0000
B  0.5000  0.5000  0.5000
Te  0.0000  0.5000  0.0000
Te  0.5000  0.0000  0.0000
N  0.0000  0.0000  0.5000

---

What did the second record say?
DFT (PBE) results for a geometry-optimized BTe2PN structure.

Properties
- size of the total moment (μB per formula unit) = 0.000
- energy (eV per atom) = -4.09
- V (Å³ per cell) = 101
- E above lowest polymorph (eV/atom) = 0.7685
- DOS(E_F) (states/eV per cell) = 3.541
- density (Mg/m³) = 5.13

Unit cell a=5.6020 b=5.6020 c=3.2055 alpha=90.00 beta=90.00 gamma=90.00
Element x y z (fractional)
P  0.0000  0.0000  0.0000
B  0.5000  0.5000  0.5000
Te  0.0000  0.5000  0.0000
Te  0.5000  0.0000  0.0000
N  0.0000  0.0000  0.5000